1.
VASP calculation (GGA-PBE) on an optimized crystal structure of Be3Se.

## Properties
Space-group type: P-6m2 (187)

a = 2.6342 Å, b = 2.6342 Å, c = 8.4056 Å
α = 90.00°, β = 90.00°, γ = 120.00°
Last column: nearest neighbours and their distance in Å.
Sites, in units of the cell vectors:
Be  0.0000  0.0000  0.0000  6 Be 2.22
Be  0.3333  0.6667  0.1926  3 Be 2.22
Be  0.3333  0.6667  0.8074  3 Be 2.22
Se  0.0000  0.0000  0.5000  6 Se 2.63

=====

2.
VASP calculation (GGA-PBE) on an optimized crystal structure of BeSe.

## Properties
Space-group type: Pmmn (59)

a = 3.6549 Å, b = 11.2570 Å, c = 5.4848 Å
α = 90.00°, β = 90.00°, γ = 90.00°
Last column: nearest neighbours and their distance in Å.
Sites, in units of the cell vectors:
Be  0.2500  0.1014  0.0669  4 Se 2.23-2.30
Be  0.2500  0.3986  0.0669  4 Se 2.23-2.30
Be  0.2500  0.7500  0.4343  4 Se 2.22-2.26
Be  0.7500  0.2500  0.5657  4 Se 2.22-2.26
Be  0.7500  0.6014  0.9331  4 Se 2.23-2.30
Be  0.7500  0.8986  0.9331  4 Se 2.23-2.30
Se  0.2500  0.2500  0.3355  4 Be 2.22-2.23
Se  0.2500  0.5964  0.1696  4 Be 2.24-2.30
Se  0.2500  0.9036  0.1696  4 Be 2.24-2.30
Se  0.7500  0.0964  0.8304  4 Be 2.24-2.30
Se  0.7500  0.4036  0.8304  4 Be 2.24-2.30
Se  0.7500  0.7500  0.6646  4 Be 2.22-2.23

=====

| no. | total DFT energy (no corrections) (eV per atom) | relative energy among the computed polymorphs (eV per atom) | raw formation energy (kJ/mol of atoms) |
| --- | --- | --- | --- |
| 1 | -3.02 | 0.595 | 62 |
| 2 | -4.30 | 0.106 | -67 |